<a>
Below is a relaxed structure of ZrFeSbAu, with properties calculated at the PBE level.

The space group is F-43m (No. 216) and the conventional cell measures 6.6292, 6.6292 and 6.6292 Å, with angles of 90.00, 90.00 and 90.00 degrees. The asymmetric unit holds Zr at (0.0000, 0.0000, 0.0000), Fe at (0.2500, 0.2500, 0.7500), Sb at (0.0000, 0.0000, 0.5000) and Au at (0.2500, 0.2500, 0.2500).

Its crystal system is cubic. As for the mass density: 10.62 g/cm3.

---

<b>
Below is a relaxed structure of ZrFeSbAu, with properties calculated at the PBE level.

The space group is F-43m (No. 216) and the conventional cell measures 6.6080, 6.6080 and 6.6080 Å, with angles of 90.00, 90.00 and 90.00 degrees. The asymmetric unit holds Zr at (0.0000, 0.0000, 0.0000), Fe at (0.0000, 0.0000, 0.5000), Sb at (0.2500, 0.2500, 0.2500) and Au at (0.2500, 0.2500, 0.7500).

Its crystal system is cubic. As for the mass density: 10.72 g/cm3.

---

Energies in meV per atom, measured from the most stable structure: <a> 72; <b> 0.

---

<a>
Below is a relaxed structure of ScTlFeAu, with properties calculated at the PBE level.

The space group is F-43m (No. 216) and the conventional cell measures 6.7035, 6.7035 and 6.7035 Å, with angles of 90.00, 90.00 and 90.00 degrees. The asymmetric unit holds Sc at (0.0000, 0.0000, 0.0000), Tl at (0.2500, 0.2500, 0.2500), Fe at (0.0000, 0.0000, 0.5000) and Au at (0.2500, 0.2500, 0.7500).

Its crystal system is cubic. As for the mass density: 11.07 g/cm3.

---

<b>
Below is a relaxed structure of ScTlFeAu, with properties calculated at the PBE level.

The space group is F-43m (No. 216) and the conventional cell measures 6.6785, 6.6785 and 6.6785 Å, with angles of 90.00, 90.00 and 90.00 degrees. The asymmetric unit holds Sc at (0.0000, 0.0000, 0.0000), Tl at (0.0000, 0.0000, 0.5000), Fe at (0.2500, 0.2500, 0.7500) and Au at (0.2500, 0.2500, 0.2500).

Its crystal system is cubic. As for the mass density: 11.20 g/cm3.

---

Energies in meV per atom, measured from the most stable structure: <a> 0; <b> 30.

---

<a>
Below is a relaxed structure of ScZnFeAu, with properties calculated at the PBE level.

The space group is F-43m (No. 216) and the conventional cell measures 6.4354, 6.4354 and 6.4354 Å, with angles of 90.00, 90.00 and 90.00 degrees. The asymmetric unit holds Sc at (0.0000, 0.0000, 0.0000), Zn at (0.2500, 0.2500, 0.2500), Fe at (0.0000, 0.0000, 0.5000) and Au at (0.2500, 0.2500, 0.7500).

Its crystal system is cubic. As for the mass density: 9.05 g/cm3.

---

<b>
Below is a relaxed structure of ScZnFeAu, with properties calculated at the PBE level.

The space group is F-43m (No. 216) and the conventional cell measures 6.3615, 6.3615 and 6.3615 Å, with angles of 90.00, 90.00 and 90.00 degrees. The asymmetric unit holds Sc at (0.0000, 0.0000, 0.0000), Zn at (0.0000, 0.0000, 0.5000), Fe at (0.2500, 0.2500, 0.7500) and Au at (0.2500, 0.2500, 0.2500).

Its crystal system is cubic. As for the mass density: 9.37 g/cm3.

---

Energies in meV per atom, measured from the most stable structure: <a> 6; <b> 0.

---

<a>
Below is a relaxed structure of TaFeSnAu, with properties calculated at the PBE level.

The space group is F-43m (No. 216) and the conventional cell measures 6.5275, 6.5275 and 6.5275 Å, with angles of 90.00, 90.00 and 90.00 degrees. The asymmetric unit holds Ta at (0.0000, 0.0000, 0.0000), Fe at (0.0000, 0.0000, 0.5000), Sn at (0.2500, 0.2500, 0.2500) and Au at (0.2500, 0.2500, 0.7500).

Its crystal system is cubic. As for the mass density: 13.19 g/cm3.

---

<b>
Below is a relaxed structure of TaFeSnAu, with properties calculated at the PBE level.

The space group is F-43m (No. 216) and the conventional cell measures 6.5087, 6.5087 and 6.5087 Å, with angles of 90.00, 90.00 and 90.00 degrees. The asymmetric unit holds Ta at (0.0000, 0.0000, 0.0000), Fe at (0.2500, 0.2500, 0.7500), Sn at (0.0000, 0.0000, 0.5000) and Au at (0.2500, 0.2500, 0.2500).

Its crystal system is cubic. As for the mass density: 13.31 g/cm3.

---

Energies in meV per atom, measured from the most stable structure: <a> 27; <b> 0.

---

<a>
Below is a relaxed structure of TaTlFeAu, with properties calculated at the PBE level.

The space group is F-43m (No. 216) and the conventional cell measures 6.5599, 6.5599 and 6.5599 Å, with angles of 90.00, 90.00 and 90.00 degrees. The asymmetric unit holds Ta at (0.0000, 0.0000, 0.0000), Tl at (0.0000, 0.0000, 0.5000), Fe at (0.2500, 0.2500, 0.7500) and Au at (0.2500, 0.2500, 0.2500).

Its crystal system is cubic. As for the mass density: 15.02 g/cm3.

---

<b>
Below is a relaxed structure of TaTlFeAu, with properties calculated at the PBE level.

The space group is F-43m (No. 216) and the conventional cell measures 6.4892, 6.4892 and 6.4892 Å, with angles of 90.00, 90.00 and 90.00 degrees. The asymmetric unit holds Ta at (0.0000, 0.0000, 0.0000), Tl at (0.2500, 0.2500, 0.2500), Fe at (0.0000, 0.0000, 0.5000) and Au at (0.2500, 0.2500, 0.7500).

Its crystal system is cubic. As for the mass density: 15.51 g/cm3.

---

Energies in meV per atom, measured from the most stable structure: <a> 0; <b> 75.

---

<a>
Below is a relaxed structure of YZnFeAu, with properties calculated at the PBE level.

The space group is F-43m (No. 216) and the conventional cell measures 6.7060, 6.7060 and 6.7060 Å, with angles of 90.00, 90.00 and 90.00 degrees. The asymmetric unit holds Y at (0.0000, 0.0000, 0.0000), Zn at (0.2500, 0.2500, 0.2500), Fe at (0.0000, 0.0000, 0.5000) and Au at (0.2500, 0.2500, 0.7500).

Its crystal system is cubic. As for the mass density: 8.97 g/cm3.

---

<b>
Below is a relaxed structure of YZnFeAu, with properties calculated at the PBE level.

The space group is F-43m (No. 216) and the conventional cell measures 6.6513, 6.6513 and 6.6513 Å, with angles of 90.00, 90.00 and 90.00 degrees. The asymmetric unit holds Y at (0.0000, 0.0000, 0.0000), Zn at (0.0000, 0.0000, 0.5000), Fe at (0.2500, 0.2500, 0.7500) and Au at (0.2500, 0.2500, 0.2500).

Its crystal system is cubic. As for the mass density: 9.19 g/cm3.

---

Energies in meV per atom, measured from the most stable structure: <a> 0; <b> 32.

---

<a>
Below is a relaxed structure of NdGaGePtAu, with properties calculated at the PBE level.

The space group is P4/nmm (No. 129, origin choice 2) and the conventional cell measures 4.3755, 4.3755 and 10.4482 Å, with angles of 90.00, 90.00 and 90.00 degrees. The asymmetric unit holds Nd at (0.2500, 0.2500, 0.2470), Ga at (0.2500, 0.7500, 0.0000), Ge at (0.2500, 0.2500, 0.6451), Pt at (0.2500, 0.2500, 0.8761) and Au at (0.2500, 0.7500, 0.5000).

Its crystal system is tetragonal. As for the mass density: 11.27 g/cm3.

---

<b>
Below is a relaxed structure of NdGaGePtAu, with properties calculated at the PBE level.

The space group is P4/nmm (No. 129, origin choice 2) and the conventional cell measures 4.3500, 4.3500 and 10.5787 Å, with angles of 90.00, 90.00 and 90.00 degrees. The asymmetric unit holds Nd at (0.2500, 0.2500, 0.2410), Ga at (0.2500, 0.7500, 0.5000), Ge at (0.2500, 0.2500, 0.8756), Pt at (0.2500, 0.7500, 0.0000) and Au at (0.2500, 0.2500, 0.6373).

Its crystal system is tetragonal. As for the mass density: 11.26 g/cm3.

---

<c>
Below is a relaxed structure of NdGaGePtAu, with properties calculated at the PBE level.

The space group is P4/nmm (No. 129, origin choice 2) and the conventional cell measures 4.4386, 4.4386 and 10.1850 Å, with angles of 90.00, 90.00 and 90.00 degrees. The asymmetric unit holds Nd at (0.2500, 0.2500, 0.2399), Ga at (0.2500, 0.2500, 0.6399), Ge at (0.2500, 0.7500, 0.0000), Pt at (0.2500, 0.2500, 0.8823) and Au at (0.2500, 0.7500, 0.5000).

Its crystal system is tetragonal. As for the mass density: 11.23 g/cm3.

---

Energies in meV per atom, measured from the most stable structure: <a> 0; <b> 46; <c> 13.